## HfCoPbI2 (PBE-GGA)

Data for crystalline HfCoPbI2 at its relaxed geometry.

abc: 5.712 4.673 5.712
angles: 90.00 90.00 90.00
Atoms (fractional coordinates):
Pb1 0.500 0.500 0.500
I1 0.000 0.000 0.500
I2 0.500 0.000 0.000
Hf1 0.000 0.000 0.000
Co1 0.000 0.500 0.000

Computed properties:
The formation energy from raw total energies is 0.546 eV/atom.